Record 1
DFT (PBEsol) results for a geometry-optimized WCl structure.

Space group: R-3m
Density of states at the Fermi level, states/eV/f.u.: 1.62
Distance to the lowest polymorph of the same formula, eV per atom: 0.1897
Density, Mg/m³: 12.14
E_form (uncorrected), eV per atom: 0.788
V, Å³ per cell: 30

abc: 4.4925 4.4925 4.4925
angles: 37.40 37.40 37.40
Fractional coordinates of all 2 atoms:
W 0.0000 0.0000 0.0000
Cl 0.5000 0.5000 0.5000

Record 2
DFT (PBEsol) results for a geometry-optimized ScMo3O structure.

Space group: Pm-3m
Density of states at the Fermi level, states/eV/f.u.: 6.30
Density, Mg/m³: 6.31
E_form (uncorrected), eV per atom: 2.681
V, Å³ per cell: 92

abc: 4.5113 4.5113 4.5113
angles: 90.00 90.00 90.00
Fractional coordinates of all 5 atoms:
Sc 0.0000 0.0000 0.0000
Mo 0.0000 0.0000 0.5000
Mo 0.0000 0.5000 0.0000
Mo 0.5000 0.0000 0.0000
O 0.5000 0.5000 0.5000

Record 3
DFT (PBEsol) results for a geometry-optimized PHWO2 structure.

Space group: P4/mmm
DFT total energy, eV/f.u.: -36.25
Density of states at the Fermi level, states/eV/f.u.: 1.88
Density, Mg/m³: 5.92
V, Å³ per cell: 70

abc: 3.7391 3.7391 4.9719
angles: 90.00 90.00 90.00
Fractional coordinates of all 5 atoms:
P 0.0000 0.0000 0.0000
H 0.5000 0.5000 0.0000
W 0.0000 0.0000 0.5000
O 0.0000 0.5000 0.5000
O 0.5000 0.0000 0.5000

Record 4
DFT (PBEsol) results for a geometry-optimized CsP2H5O8 structure.

Space group: P-1
DFT total energy, eV/f.u.: -98.44
Density of states at the Fermi level, states/eV/f.u.: 0.00
Density, Mg/m³: 2.81
V, Å³ per cell: 388

abc: 6.8308 7.7587 8.2630
angles: 74.52 67.25 88.44
Fractional coordinates of all 32 atoms:
Cs 0.1298 0.3173 0.1517
Cs 0.8702 0.6827 0.8483
P 0.2153 0.2411 0.6702
P 0.3771 0.8431 0.2927
P 0.6229 0.1569 0.7073
P 0.7847 0.7589 0.3298
H 0.1681 0.7840 0.1555
H 0.2633 0.0406 0.5071
H 0.2705 0.5564 0.4756
H 0.4027 0.7682 0.8186
H 0.4597 0.6283 0.7102
H 0.5403 0.3717 0.2898
H 0.5973 0.2318 0.1814
H 0.7295 0.4436 0.5244
H 0.7367 0.9594 0.4929
H 0.8319 0.2160 0.8445
O 0.0198 0.2889 0.8124
O 0.1750 0.0580 0.6412
O 0.2355 0.6967 0.4657
O 0.3145 0.3845 0.4883
O 0.3278 0.8445 0.1259
O 0.3595 0.6448 0.8284
O 0.3685 0.0229 0.3326
O 0.3826 0.2138 0.7691
O 0.6174 0.7862 0.2309
O 0.6315 0.9771 0.6674
O 0.6405 0.3552 0.1716
O 0.6722 0.1555 0.8741
O 0.6855 0.6155 0.5117
O 0.7645 0.3033 0.5343
O 0.8250 0.9420 0.3588
O 0.9802 0.7111 0.1876

- The lowest V belongs to which entry?
  WCl

- density of states at the Fermi level of number 2 (ScMo3O)?
  6.30 states/eV/f.u.